This record from Alexandria via LeMat-Bulk describes a relaxed structure of Mg2NiC. The functional is PBE.

Uncorrected energy, eV/atom: -4.05
V, Å³ per atom: 16.71

Cell lengths 2.9486, 6.5802, 6.8904 Å; angles 90.00, 90.00, 90.00 degrees
Fractional positions:
Mg  0.0000  0.7533  0.3082
Mg  0.0000  0.2467  0.3082
Mg  0.0000  0.7467  0.8082
Mg  0.0000  0.2533  0.8082
C  0.5000  0.0000  0.2841
C  0.5000  0.5000  0.7841
Ni  0.5000  0.5000  0.5274
Ni  0.5000  0.0000  0.0274

---

This record from Alexandria via LeMat-Bulk describes a relaxed structure of Mg2NiC. The functional is PBE.

Uncorrected energy, eV/atom: -4.40
V, Å³ per atom: 16.32

Cell lengths 8.4829, 8.4829, 6.2668 Å; angles 47.40, 47.40, 90.00 degrees
Fractional positions:
Mg  0.3750  0.5532  0.7500
Mg  0.4468  0.1250  0.2500
Mg  0.8750  0.6968  0.7500
Mg  0.3032  0.6250  0.2500
C  0.2500  0.7500  0.5000
C  0.5000  0.5000  0.0000
Ni  0.0000  0.0000  0.0000
Ni  0.7500  0.2500  0.5000

---

This record from Alexandria via LeMat-Bulk describes a relaxed structure of MgNiC3. The functional is PBE.

ΔE to the lowest computed polymorph, kJ per mole of atoms: 0.00
Uncorrected energy, eV/atom: -5.07
V, Å³ per atom: 10.93

Cell lengths 3.7944, 3.7944, 3.7944 Å; angles 90.00, 90.00, 90.00 degrees
Fractional positions:
Ni  0.0000  0.0000  0.0000
C  0.5000  0.0000  0.0000
C  0.0000  0.0000  0.5000
C  0.0000  0.5000  0.0000
Mg  0.5000  0.5000  0.5000